Material: TeNF2
Method: DFT, PBE-GGA
State: optimized geometry

Geometry as POSCAR:
```
TeNF2
1.0
1.9465 0.0000 8.5774
-0.9733 1.6858 8.5774
-0.9733 -1.6858 8.5774
N Te F
1 1 2
Cartesian
0.0000 0.0000 12.8661
0.0000 0.0000 0.0000
0.0000 0.0000 23.7489
0.0000 0.0000 1.9833
```

Values from the calculation:
Magnetization (μB/cell): 2.9
Formation energy (no corrections) (eV per atom): 0.296
ΔE to the lowest computed polymorph (eV/atom): 0.0000

---

Material: Te2NF
Method: DFT, PBE-GGA
State: optimized geometry

Geometry as POSCAR:
```
Te2NF
1.0
-2.0571 4.0348 6.8928
0.0580 1.7147 8.0671
1.2506 4.5603 6.7573
N Te F
1 2 1
Cartesian
0.0000 0.0000 0.0000
-0.6888 9.4877 19.9854
-0.0597 0.8222 1.7319
-0.3743 5.1549 10.8586
```

Values from the calculation:
Magnetization (μB/cell): 0.0
Formation energy (no corrections) (eV per atom): 0.060
ΔE to the lowest computed polymorph (eV/atom): 0.0000

---

Material: Te2NF
Method: DFT, PBE-GGA
State: optimized geometry

Geometry as POSCAR:
```
Te2NF
1.0
0.0000 3.2007 3.2007
3.2007 0.0000 3.2007
3.2007 3.2007 0.0000
N Te F
1 2 1
Cartesian
0.0000 0.0000 0.0000
1.6003 1.6003 1.6003
4.8010 4.8010 4.8010
3.2007 3.2007 3.2007
```

Values from the calculation:
Magnetization (μB/cell): 0.0
Formation energy (no corrections) (eV per atom): 0.615
ΔE to the lowest computed polymorph (eV/atom): 0.5556